# HfTh3Pd12 (PBE, relaxed)
# ΔE_f = -887 meV per atom
# uncorrected energy = -6.795 eV per atom
data_HfTh3Pd12
_chemical_formula_sum 'Hf1 Th3 Pd12'
_space_group_name_H-M_alt 'P 4/m m m'
_space_group_IT_number 123
_space_group_name_Hall '-P 4 2'
_cell_length_a 4.190
_cell_length_b 4.190
_cell_length_c 16.537
_cell_angle_alpha 90.00
_cell_angle_beta 90.00
_cell_angle_gamma 90.00
loop_
_atom_site_label
_atom_site_type_symbol
_atom_site_fract_x
_atom_site_fract_y
_atom_site_fract_z
Hf1 Hf 0.000 0.000 0.000
Th1 Th 0.000 0.000 0.243
Th2 Th 0.000 0.000 0.500
Pd1 Pd 0.000 0.500 0.116
Pd2 Pd 0.000 0.500 0.372
Pd3 Pd 0.500 0.500 0.000
Pd4 Pd 0.500 0.500 0.244
Pd5 Pd 0.500 0.500 0.500